An optimized crystal structure of Rb2MnGeF. Source: the Alexandria database, functional GGA+U.

Output
volume = 225.8 Å³ per cell
SG = No. 123
DOS(E_F) = 1.53 states/eV/f.u.
total magnetic moment = 4.0 μB per cell
calculated total energy = -17.8 eV for the cell shown

```
data_Rb2MnGeF
_cell_length_a 6.795
_cell_length_b 6.795
_cell_length_c 4.890
_cell_angle_alpha 90.00
_cell_angle_beta 90.00
_cell_angle_gamma 90.00
_space_group_name_H-M_alt 'P 1'
_space_group_IT_number 1
loop_
_space_group_symop_operation_xyz
'x,y,z'
loop_
_atom_site_label
_atom_site_type_symbol
_atom_site_fract_x
_atom_site_fract_y
_atom_site_fract_z
Rb1 Rb 0.000 0.500 0.000
Rb2 Rb 0.500 0.000 0.000
Mn1 Mn 0.000 0.000 0.500
Ge1 Ge 0.000 0.000 0.000
F1 F 0.500 0.500 0.500
```